Record 1
The following is a DFT calculation (PBE) of crystalline La2In3Pd at its relaxed geometry.

Summary:
Its formation energy is -0.62 eV per atom. Its space group is Pmm2 (25). The total energy is -4.50 eV per atom. Its total moment is 0.0 μB per formula unit.

Unit cell a=3.845 b=4.926 c=8.559 alpha=90.00 beta=90.00 gamma=90.00
Fractional coordinates of all 6 atoms:
In 0.500 0.500 0.655
In 0.500 0.000 0.834
In 0.500 0.000 0.173
La 0.000 0.000 0.483
La 0.000 0.500 0.026
Pd 0.500 0.500 0.329


Record 2
The following is a DFT calculation (PBE) of crystalline Tb3GeC at its relaxed geometry.

Summary:
Its formation energy is -0.43 eV per atom. Its space group is C2/c (15). The total energy is -5.98 eV per atom. Its total moment is 0.6 μB per formula unit.

Unit cell a=6.176 b=8.745 c=8.745 alpha=96.80 beta=94.08 gamma=94.08
Site moments in Bohr magnetons follow the coordinates.
Fractional coordinates of all 20 atoms:
C 0.750 0.214 0.786  0.00
C 0.750 0.932 0.068  -0.01
C 0.250 0.068 0.932  -0.01
C 0.250 0.786 0.214  0.00
Ge 0.056 0.589 0.753  -0.01
Ge 0.444 0.247 0.411  -0.01
Ge 0.556 0.753 0.589  -0.01
Ge 0.944 0.411 0.247  -0.01
Tb 0.394 0.809 0.949  0.09
Tb 0.068 0.724 0.459  0.15
Tb 0.568 0.459 0.724  0.15
Tb 0.091 0.322 0.923  0.13
Tb 0.409 0.077 0.678  0.13
Tb 0.909 0.678 0.077  0.13
Tb 0.894 0.949 0.809  0.09
Tb 0.606 0.191 0.051  0.09
Tb 0.432 0.541 0.276  0.15
Tb 0.106 0.051 0.191  0.09
Tb 0.932 0.276 0.541  0.15
Tb 0.591 0.923 0.322  0.13


Record 3
The following is a DFT calculation (PBE) of crystalline Ca3Si at its relaxed geometry.

Summary:
As for the uncorrected formation energy: -0.016 eV per atom. Its space group is P-6m2 (187). The total energy is -2.87 eV per atom. Its total moment is 0.0 μB per formula unit.

Unit cell a=3.849 b=3.849 c=10.778 alpha=90.00 beta=90.00 gamma=120.00
Fractional coordinates of all 4 atoms:
Ca 0.000 0.000 0.562
Ca 0.000 0.000 0.938
Ca 0.667 0.333 0.250
Si 0.667 0.333 0.750


Record 4
The following is a DFT calculation (PBE) of crystalline Sr2Li3Ag12Sn at its relaxed geometry.

Summary:
Its formation energy is -0.02 eV per atom. Its space group is R-3m (166). The total energy is -2.65 eV per atom. Its total moment is 0.0 μB per formula unit.

Unit cell a=11.095 b=11.095 c=11.095 alpha=35.14 beta=35.14 gamma=35.14
Fractional coordinates of all 18 atoms:
Ag 0.413 0.891 0.891
Ag 0.594 0.184 0.594
Ag 0.594 0.594 0.184
Ag 0.184 0.594 0.594
Ag 0.406 0.816 0.406
Ag 0.891 0.891 0.413
Ag 0.109 0.109 0.587
Ag 0.816 0.406 0.406
Ag 0.406 0.406 0.816
Ag 0.587 0.109 0.109
Ag 0.109 0.587 0.109
Ag 0.891 0.413 0.891
Sr 0.360 0.360 0.360
Sr 0.640 0.640 0.640
Li 0.000 0.500 0.000
Li 0.500 0.000 0.000
Li 0.000 0.000 0.500
Sn 0.000 0.000 0.000


Record 5
The following is a DFT calculation (PBE) of crystalline CaTmMgIr at its relaxed geometry.

Summary:
Its formation energy is -0.29 eV per atom. Its space group is F-43m (216). The total energy is -4.53 eV per atom. Its total moment is 0.0 μB per formula unit.

Unit cell a=5.003 b=5.003 c=5.003 alpha=60.00 beta=60.00 gamma=60.00
Fractional coordinates of all 4 atoms:
Ir 0.000 0.000 0.000
Ca 0.250 0.250 0.250
Mg 0.500 0.500 0.500
Tm 0.750 0.750 0.750


Record 6
The following is a DFT calculation (PBE) of crystalline Ac12Zn3Ru5 at its relaxed geometry.

Summary:
Its formation energy is 0.02 eV per atom. Its space group is Ia-3d (230). The total energy is -4.95 eV per atom. Its total moment is 0.0 μB per formula unit.

Unit cell a=15.571 b=15.571 c=15.571 alpha=109.47 beta=109.47 gamma=109.47
Fractional coordinates of all 80 atoms:
Ac 0.321 0.792 0.413
Ac 0.593 0.621 0.413
Ac 0.587 0.879 0.407
Ac 0.621 0.593 0.913
Ac 0.679 0.472 0.593
Ac 0.913 0.821 0.792
Ac 0.028 0.621 0.708
Ac 0.708 0.121 0.028
Ac 0.379 0.407 0.087
Ac 0.972 0.379 0.292
Ac 0.121 0.413 0.093
Ac 0.679 0.208 0.587
Ac 0.879 0.292 0.472
Ac 0.621 0.028 0.208
Ac 0.413 0.121 0.593
Ac 0.093 0.179 0.472
Ac 0.208 0.679 0.087
Ac 0.407 0.028 0.321
Ac 0.587 0.708 0.679
Ac 0.472 0.792 0.879
Ac 0.179 0.087 0.708
Ac 0.708 0.587 0.179
Ac 0.792 0.472 0.379
Ac 0.321 0.528 0.407
Ac 0.972 0.593 0.179
Ac 0.792 0.321 0.913
Ac 0.913 0.093 0.621
Ac 0.528 0.321 0.907
Ac 0.407 0.379 0.587
Ac 0.379 0.972 0.792
Ac 0.292 0.879 0.972
Ac 0.093 0.913 0.121
Ac 0.907 0.821 0.528
Ac 0.821 0.913 0.292
Ac 0.593 0.972 0.679
Ac 0.179 0.093 0.972
Ac 0.472 0.679 0.093
Ac 0.087 0.179 0.208
Ac 0.413 0.292 0.321
Ac 0.907 0.087 0.879
Ac 0.028 0.407 0.821
Ac 0.879 0.587 0.907
Ac 0.528 0.208 0.121
Ac 0.208 0.528 0.621
Ac 0.292 0.413 0.821
Ac 0.121 0.708 0.528
Ac 0.821 0.907 0.028
Ac 0.087 0.907 0.379
Zn 0.125 0.875 0.750
Zn 0.625 0.250 0.375
Zn 0.250 0.625 0.875
Zn 0.875 0.750 0.125
Zn 0.375 0.625 0.250
Zn 0.625 0.375 0.750
Zn 0.750 0.375 0.125
Zn 0.375 0.750 0.625
Zn 0.875 0.125 0.250
Zn 0.125 0.250 0.875
Zn 0.750 0.875 0.625
Zn 0.250 0.125 0.375
Ru 0.375 0.250 0.125
Ru 0.000 0.500 0.500
Ru 0.750 0.125 0.875
Ru 0.625 0.875 0.250
Ru 0.125 0.750 0.375
Ru 0.750 0.625 0.375
Ru 0.500 0.500 0.000
Ru 0.500 0.500 0.500
Ru 0.500 0.000 0.500
Ru 0.875 0.625 0.750
Ru 0.250 0.875 0.125
Ru 0.375 0.125 0.750
Ru 0.000 0.000 0.000
Ru 0.625 0.750 0.875
Ru 0.000 0.500 0.000
Ru 0.000 0.000 0.500
Ru 0.500 0.000 0.000
Ru 0.875 0.250 0.625
Ru 0.250 0.375 0.625
Ru 0.125 0.375 0.250


Record 7
The following is a DFT calculation (PBE) of crystalline Sc5Be3 at its relaxed geometry.

Summary:
Its formation energy is 0.12 eV per atom. Its space group is Cmmm (65). The total energy is -5.24 eV per atom. Its total moment is 0.0 μB per formula unit.

Unit cell a=5.796 b=5.796 c=4.435 alpha=90.00 beta=90.00 gamma=102.09
Fractional coordinates of all 8 atoms:
Sc 0.288 0.288 0.500
Sc 0.000 0.500 0.000
Sc 0.000 0.000 0.000
Sc 0.500 0.000 0.000
Sc 0.712 0.712 0.500
Be 0.500 0.500 0.000
Be 0.220 0.780 0.500
Be 0.780 0.220 0.500


Record 8
The following is a DFT calculation (PBE) of crystalline LaPrNdPb at its relaxed geometry.

Summary:
Its formation energy is -0.32 eV per atom. Its space group is I-4m2 (119). The total energy is -4.86 eV per atom. Its total moment is 0.0 μB per formula unit.

Unit cell a=4.974 b=4.974 c=6.286 alpha=113.31 beta=113.31 gamma=90.00
Fractional coordinates of all 4 atoms:
Pr 0.000 0.000 0.000
Nd 0.500 0.500 0.000
La 0.250 0.750 0.500
Pb 0.750 0.250 0.500


Record 9
The following is a DFT calculation (PBE) of crystalline Hf3ZrH at its relaxed geometry.

Summary:
Its space group is Pm-3m (221). The total energy is -6.50 eV per atom. Its total moment is 0.0 μB per formula unit.

Unit cell a=5.154 b=5.154 c=5.154 alpha=90.00 beta=90.00 gamma=90.00
Fractional coordinates of all 5 atoms:
Zr 0.000 0.000 0.000
Hf 0.000 0.000 0.500
Hf 0.500 0.000 0.000
Hf 0.000 0.500 0.000
H 0.500 0.500 0.500


Record 10
The following is a DFT calculation (PBE) of crystalline K3Y3InS8 at its relaxed geometry.

Summary:
As for the uncorrected formation energy: -1.520 eV per atom. Its space group is C2/m (12). The total energy is -5.42 eV per atom. Its total moment is 0.0 μB per formula unit.

Unit cell a=7.958 b=7.965 c=8.833 alpha=116.84 beta=90.00 gamma=119.97
Fractional coordinates of all 15 atoms:
K 0.000 0.500 0.000
K 0.500 0.500 0.000
K 0.000 0.000 0.000
Y 0.000 0.500 0.500
Y 0.500 0.000 0.500
Y 0.500 0.500 0.500
S 0.739 0.968 0.697
S 0.229 0.458 0.697
S 0.266 0.532 0.298
S 0.771 0.032 0.303
S 0.771 0.542 0.303
S 0.229 0.968 0.697
S 0.734 0.468 0.702
S 0.261 0.032 0.303
In 0.000 0.000 0.500


Record 11
The following is a DFT calculation (PBE) of crystalline KSi2Cl at its relaxed geometry.

Summary:
As for the uncorrected formation energy: 0.703 eV per atom. Its space group is P4/mmm (123). The total energy is -2.74 eV per atom. Its total moment is 0.0 μB per formula unit.

Unit cell a=3.079 b=3.079 c=9.257 alpha=90.00 beta=90.00 gamma=90.00
Fractional coordinates of all 4 atoms:
Si 0.000 0.000 0.037
Si 0.000 0.000 0.463
K 0.500 0.500 0.750
Cl 0.500 0.500 0.250


Record 12
The following is a DFT calculation (PBE) of crystalline Pm5HoTe6 at its relaxed geometry.

Summary:
As for the uncorrected formation energy: -1.384 eV per atom. Its space group is C2/m (12). The total energy is -5.32 eV per atom. Its total moment is 0.0 μB per formula unit.

Unit cell a=7.697 b=7.697 c=7.719 alpha=99.52 beta=99.52 gamma=120.30
Fractional coordinates of all 12 atoms:
Pm 0.174 0.826 0.500
Pm 0.826 0.174 0.500
Pm 0.500 0.500 0.500
Pm 0.332 0.668 0.000
Pm 0.668 0.332 0.000
Te 0.242 0.242 0.750
Te 0.082 0.406 0.244
Te 0.594 0.918 0.756
Te 0.406 0.082 0.244
Te 0.758 0.758 0.250
Te 0.918 0.594 0.756
Ho 0.000 0.000 0.000


Record 13
The following is a DFT calculation (PBE) of crystalline HfAu at its relaxed geometry.

Summary:
Its formation energy is -0.29 eV per atom. Its space group is Fddd (70). The total energy is -6.91 eV per atom. Its total moment is 0.0 μB per formula unit.

Unit cell a=10.924 b=8.737 c=7.089 alpha=90.00 beta=90.00 gamma=90.00
Fractional coordinates of all 32 atoms:
Hf 0.250 0.043 0.250
Hf 0.000 0.707 0.000
Hf 0.000 0.293 0.000
Hf 0.500 0.793 0.000
Hf 0.500 0.707 0.500
Hf 0.750 0.957 0.250
Hf 0.750 0.043 0.750
Hf 0.750 0.543 0.250
Hf 0.500 0.293 0.500
Hf 0.000 0.207 0.500
Hf 0.250 0.957 0.750
Hf 0.000 0.793 0.500
Hf 0.250 0.457 0.250
Hf 0.250 0.543 0.750
Hf 0.750 0.457 0.750
Hf 0.500 0.207 0.000
Au 0.750 0.250 0.447
Au 0.750 0.250 0.053
Au 0.750 0.750 0.553
Au 0.250 0.250 0.947
Au 0.750 0.750 0.947
Au 0.000 0.500 0.303
Au 0.000 0.500 0.697
Au 0.250 0.750 0.447
Au 0.000 0.000 0.197
Au 0.500 0.500 0.197
Au 0.250 0.750 0.053
Au 0.500 0.500 0.803
Au 0.500 0.000 0.697
Au 0.000 0.000 0.803
Au 0.500 0.000 0.303
Au 0.250 0.250 0.553


Record 14
The following is a DFT calculation (PBE) of crystalline Tb6Pd5Pt at its relaxed geometry.

Summary:
Its formation energy is -0.93 eV per atom. Its space group is C2/m (12). The total energy is -5.91 eV per atom. Its total moment is 0.0 μB per formula unit.

Unit cell a=5.022 b=6.915 c=8.647 alpha=66.43 beta=73.45 gamma=90.00
Fractional coordinates of all 12 atoms:
Pd 0.335 0.334 0.332
Pd 0.665 0.666 0.668
Pd 0.669 0.170 0.660
Pd 0.000 0.500 0.000
Pd 0.331 0.830 0.340
Tb 0.165 0.414 0.669
Tb 0.835 0.586 0.331
Tb 0.500 0.753 0.000
Tb 0.835 0.083 0.331
Tb 0.165 0.917 0.669
Tb 0.500 0.247 0.000
Pt 0.000 0.000 0.000


Record 15
The following is a DFT calculation (PBE) of crystalline LiSn2W at its relaxed geometry.

Summary:
Its formation energy is 0.38 eV per atom. Its space group is Fm-3m (225). The total energy is -5.34 eV per atom. Its total moment is 0.7 μB per formula unit.

Unit cell a=4.761 b=4.761 c=4.761 alpha=60.00 beta=60.00 gamma=60.00
Site moments in Bohr magnetons follow the coordinates.
Fractional coordinates of all 4 atoms:
Li 0.000 0.000 0.000  0.00
W 0.500 0.500 0.500  0.50
Sn 0.250 0.250 0.250  0.00
Sn 0.750 0.750 0.750  0.00


Record 16
The following is a DFT calculation (PBE) of crystalline Y3Ru5 at its relaxed geometry.

Summary:
Its formation energy is 0.06 eV per atom. Its space group is P-1 (2). The total energy is -8.16 eV per atom. Its total moment is 0.0 μB per formula unit.

Unit cell a=5.080 b=8.323 c=8.307 alpha=76.99 beta=100.47 gamma=79.35
Fractional coordinates of all 16 atoms:
Y 0.250 0.107 0.107
Y 0.707 0.426 0.910
Y 0.205 0.090 0.577
Y 0.294 0.574 0.090
Y 0.796 0.910 0.424
Y 0.751 0.893 0.894
Ru 0.185 0.319 0.769
Ru 0.319 0.768 0.317
Ru 0.545 0.272 0.355
Ru 0.046 0.647 0.727
Ru 0.816 0.681 0.232
Ru 0.954 0.353 0.274
Ru 0.682 0.232 0.684
Ru 0.751 0.518 0.521
Ru 0.455 0.728 0.646
Ru 0.249 0.482 0.480


Record 17
The following is a DFT calculation (PBE) of crystalline Ga2NiHgGe at its relaxed geometry.

Summary:
Its formation energy is 0.01 eV per atom. Its space group is P4/mmm (123). The total energy is -3.34 eV per atom. Its total moment is 0.0 μB per formula unit.

Unit cell a=4.677 b=4.677 c=4.631 alpha=90.00 beta=90.00 gamma=90.00
Fractional coordinates of all 5 atoms:
Ge 0.000 0.000 0.500
Ga 0.000 0.500 0.000
Ga 0.500 0.000 0.000
Ni 0.000 0.000 0.000
Hg 0.500 0.500 0.500


Record 18
The following is a DFT calculation (PBE) of crystalline La2DyLu at its relaxed geometry.

Summary:
Its formation energy is 0.07 eV per atom. Its space group is Fm-3m (225). The total energy is -4.67 eV per atom. Its total moment is 0.0 μB per formula unit.

Unit cell a=5.776 b=5.776 c=5.776 alpha=60.00 beta=60.00 gamma=60.00
Fractional coordinates of all 4 atoms:
La 0.750 0.750 0.750
La 0.250 0.250 0.250
Dy 0.000 0.000 0.000
Lu 0.500 0.500 0.500


Record 19
The following is a DFT calculation (PBE) of crystalline Ho2Ag2Au at its relaxed geometry.

Summary:
Its formation energy is -0.31 eV per atom. Its space group is Ibam (72). The total energy is -3.94 eV per atom. Its total moment is 0.0 μB per formula unit.

Unit cell a=5.527 b=6.636 c=7.719 alpha=115.46 beta=110.98 gamma=90.00
Fractional coordinates of all 10 atoms:
Au 0.750 0.500 0.000
Au 0.250 0.500 0.000
Ho 0.168 0.882 0.336
Ho 0.832 0.118 0.664
Ho 0.668 0.455 0.336
Ho 0.332 0.545 0.664
Ag 0.090 0.228 0.180
Ag 0.590 0.952 0.180
Ag 0.410 0.048 0.820
Ag 0.910 0.772 0.820